[1]
Density functional theory data (PBE-GGA) for crystalline YAu2Cl at its relaxed geometry.

Lattice parameters (Å, degrees): 3.523 3.523 8.117 90.00 90.00 90.00
Sites, in units of the cell vectors:
Y1 0.000 0.000 0.000
Au1 0.000 0.000 0.377
Au2 0.500 0.500 0.201
Cl1 0.500 0.500 0.786

The formation energy without anion corrections comes out at -3.238 eV/f.u. As for the crystal system: tetragonal. As for the space group: P4mm, No. 99.

***

[2]
Density functional theory data (PBE-GGA) for crystalline Tb7Y12Bi at its relaxed geometry.

Lattice parameters (Å, degrees): 8.704 8.704 8.704 87.16 87.16 87.16
Sites, in units of the cell vectors:
Tb1 0.000 0.000 0.000
Tb2 0.108 0.425 0.352
Tb3 0.352 0.108 0.425
Tb4 0.425 0.352 0.108
Tb5 0.575 0.648 0.892
Tb6 0.648 0.892 0.575
Tb7 0.892 0.575 0.648
Y1 0.000 0.114 0.640
Y2 0.000 0.886 0.360
Y3 0.114 0.640 0.000
Y4 0.239 0.364 0.753
Y5 0.247 0.761 0.636
Y6 0.360 0.000 0.886
Y7 0.364 0.753 0.239
Y8 0.636 0.247 0.761
Y9 0.640 0.000 0.114
Y10 0.753 0.239 0.364
Y11 0.761 0.636 0.247
Y12 0.886 0.360 0.000
Bi1 0.500 0.500 0.500

Its formation energy is 0.13 eV/atom. As for the crystal system: trigonal. As for the space group: R-3, No. 148.